DFT (PBE-GGA) results for crystalline Zn2IrSe at its relaxed geometry.

Values from the calculation:
E_form (uncorrected) ... 0.09 eV/atom
SG ... P4/mmm

abc: 4.2562 4.2562 3.4676
angles: 90.00 90.00 90.00
Last column: nearest neighbours and their distance in Å.
Fractional positions:
Zn 0.0000 0.5000 0.0000  4 Se 2.74, 4 Ir 2.74, 4 Zn 3.01
Zn 0.5000 0.0000 0.0000  4 Se 2.74, 4 Ir 2.74, 4 Zn 3.01
Ir 0.0000 0.0000 0.5000  8 Zn 2.74, 4 Se 3.01
Se 0.5000 0.5000 0.5000  8 Zn 2.74, 4 Ir 3.01

---

DFT (PBE-GGA) results for crystalline ZrReSi at its relaxed geometry.

Values from the calculation:
E_form (uncorrected) ... -0.44 eV/atom
SG ... C2/m

abc: 5.2909 5.2909 7.1188
angles: 114.16 114.16 35.42
Last column: nearest neighbours and their distance in Å.
Fractional positions:
Zr 0.1308 0.1308 0.2733  4 Si 2.80-2.84, 4 Re 2.87-2.91
Zr 0.8692 0.8692 0.7267  4 Si 2.80-2.84, 4 Re 2.87-2.91
Re 0.3672 0.3672 0.0600  2 Si 2.49, 2 Re 2.68
Re 0.6328 0.6328 0.9400  2 Si 2.49, 2 Re 2.68
Si 0.1266 0.1266 0.6691  2 Re 2.49, 1 Si 2.65
Si 0.8734 0.8734 0.3309  2 Re 2.49, 1 Si 2.65

---

DFT (PBE-GGA) results for crystalline LiAc2Sn3 at its relaxed geometry.

Values from the calculation:
ΔH_f (0 K) ... -0.641 eV/atom
SG ... Fmmm

abc: 9.5380 9.4552 6.6485
angles: 70.18 68.84 40.98
Last column: nearest neighbours and their distance in Å.
Fractional positions:
Li 0.1675 0.1675 0.8325  3 Sn 2.59-2.64
Li 0.8325 0.8325 0.1675  3 Sn 2.59-2.64
Ac 0.2500 0.2500 0.2500  8 Sn 3.55-3.56, 4 Li 3.59
Ac 0.2635 0.7365 0.7365  10 Sn 3.59-3.66, 2 Li 3.68
Ac 0.7365 0.2635 0.2635  10 Sn 3.59-3.66, 2 Li 3.68
Ac 0.7500 0.7500 0.7500  8 Sn 3.55-3.56, 4 Li 3.59
Sn 0.1453 0.6808 0.3192  1 Li 2.59, 1 Sn 2.87
Sn 0.3192 0.8547 0.1453  1 Li 2.59, 1 Sn 2.87
Sn 0.3273 0.3273 0.6727  1 Li 2.64, 2 Sn 2.93
Sn 0.6727 0.6727 0.3273  1 Li 2.64, 2 Sn 2.93
Sn 0.6808 0.1453 0.8547  1 Li 2.59, 1 Sn 2.87
Sn 0.8547 0.3192 0.6808  1 Li 2.59, 1 Sn 2.87

---

DFT (PBE-GGA) results for crystalline La3Ce2ErP6 at its relaxed geometry.

Values from the calculation:
ΔH_f (0 K) ... -1.549 eV/atom
SG ... C2/m

abc: 7.1921 7.1921 7.2197
angles: 99.56 99.56 120.00
Last column: nearest neighbours and their distance in Å.
Fractional positions:
La 0.0000 0.0000 0.0000  6 P 3.00-3.01
La 0.3331 0.6669 0.0000  6 P 2.99-3.01
La 0.6669 0.3331 0.0000  6 P 2.99-3.01
Ce 0.1666 0.8334 0.5000  6 P 2.89
Ce 0.8334 0.1666 0.5000  6 P 2.89
Er 0.5000 0.5000 0.5000  6 P 2.87-2.88
P 0.0900 0.4217 0.2650  1 Er 2.87, 2 Ce 2.89, 3 La 3.00-3.01
P 0.2470 0.2470 0.7360  1 Er 2.88, 2 Ce 2.89, 3 La 2.99-3.01
P 0.4217 0.0900 0.2650  1 Er 2.87, 2 Ce 2.89, 3 La 3.00-3.01
P 0.5783 0.9100 0.7350  1 Er 2.87, 2 Ce 2.89, 3 La 3.00-3.01
P 0.7530 0.7530 0.2640  1 Er 2.88, 2 Ce 2.89, 3 La 2.99-3.01
P 0.9100 0.5783 0.7350  1 Er 2.87, 2 Ce 2.89, 3 La 3.00-3.01

---

DFT (PBE-GGA) results for crystalline LiPuGaIr at its relaxed geometry.

Values from the calculation:
ΔH_f (0 K) ... -0.187 eV/atom
SG ... F-43m

abc: 4.6926 4.6926 4.6926
angles: 60.00 60.00 60.00
Last column: nearest neighbours and their distance in Å.
Fractional positions:
Li 0.0000 0.0000 0.0000  4 Ir 2.87, 4 Ga 2.87
Pu 0.5000 0.5000 0.5000  4 Ir 2.87, 4 Ga 2.87
Ga 0.2500 0.2500 0.2500  4 Pu 2.87, 4 Li 2.87
Ir 0.7500 0.7500 0.7500  4 Pu 2.87, 4 Li 2.87

---

DFT (PBE-GGA) results for crystalline Nd8Ga3SI4 at its relaxed geometry.

Values from the calculation:
E_form (uncorrected) ... -0.96 eV/atom
SG ... R-3m

abc: 9.1510 9.1510 9.1510
angles: 56.33 56.33 56.33
Last column: nearest neighbours and their distance in Å.
Fractional positions:
Nd 0.2359 0.2359 0.2359  3 Ga 2.96
Nd 0.2371 0.7319 0.7319  1 S 2.91, 2 Ga 2.94
Nd 0.2681 0.2681 0.7629  1 S 2.91, 2 Ga 2.94
Nd 0.2681 0.7629 0.2681  1 S 2.91, 2 Ga 2.94
Nd 0.7319 0.2371 0.7319  1 S 2.91, 2 Ga 2.94
Nd 0.7319 0.7319 0.2371  1 S 2.91, 2 Ga 2.94
Nd 0.7629 0.2681 0.2681  1 S 2.91, 2 Ga 2.94
Nd 0.7641 0.7641 0.7641  3 Ga 2.96
Ga 0.0000 0.0000 0.5000  6 Nd 2.94-2.96
Ga 0.0000 0.5000 0.0000  6 Nd 2.94-2.96
Ga 0.5000 0.0000 0.0000  6 Nd 2.94-2.96
S 0.5000 0.5000 0.5000  6 Nd 2.91
I 0.0000 0.0000 0.0000  6 Nd 3.41
I 0.0000 0.5000 0.5000  6 Nd 3.35-3.38
I 0.5000 0.0000 0.5000  6 Nd 3.35-3.38
I 0.5000 0.5000 0.0000  6 Nd 3.35-3.38

---

DFT (PBE-GGA) results for crystalline PrTl2Ga at its relaxed geometry.

Values from the calculation:
ΔH_f (0 K) ... -0.346 eV/atom
SG ... P4/mmm

abc: 4.6714 4.6714 4.8201
angles: 90.00 90.00 90.00
Last column: nearest neighbours and their distance in Å.
Fractional positions:
Pr 0.0000 0.0000 0.0000  4 Ga 3.30, 8 Tl 3.36
Tl 0.0000 0.5000 0.5000  4 Tl 3.30, 4 Pr 3.36, 4 Ga 3.36
Tl 0.5000 0.0000 0.5000  4 Tl 3.30, 4 Pr 3.36, 4 Ga 3.36
Ga 0.5000 0.5000 0.0000  4 Pr 3.30, 8 Tl 3.36

---

DFT (PBE-GGA) results for crystalline CaIn2Co at its relaxed geometry.

Values from the calculation:
ΔH_f (0 K) ... 0.039 eV/atom
SG ... Fm-3m

abc: 4.8617 4.8617 4.8617
angles: 60.00 60.00 60.00
Last column: nearest neighbours and their distance in Å.
Fractional positions:
Ca 0.0000 0.0000 0.0000  8 In 2.98
In 0.2500 0.2500 0.2500  4 Co 2.98, 4 Ca 2.98
In 0.7500 0.7500 0.7500  4 Co 2.98, 4 Ca 2.98
Co 0.5000 0.5000 0.5000  8 In 2.98

---

DFT (PBE-GGA) results for crystalline LaNbGa2Ni at its relaxed geometry.

Values from the calculation:
ΔH_f (0 K) ... 0.041 eV/atom
SG ... P4/mmm

abc: 5.0189 5.0189 4.6004
angles: 90.00 90.00 90.00
Last column: nearest neighbours and their distance in Å.
Fractional positions:
La 0.0000 0.0000 0.0000  8 Ga 3.40, 4 Ni 3.55
Nb 0.5000 0.5000 0.5000  2 Ni 2.30, 4 Ga 2.51
Ga 0.0000 0.5000 0.5000  2 Nb 2.51
Ga 0.5000 0.0000 0.5000  2 Nb 2.51
Ni 0.5000 0.5000 0.0000  2 Nb 2.30

---

DFT (PBE-GGA) results for crystalline Tb3PaFe8 at its relaxed geometry.

Values from the calculation:
ΔH_f (0 K) ... -0.081 eV/atom
SG ... R3m

abc: 8.8744 8.8744 8.8744
angles: 33.65 33.65 33.65
Last column: nearest neighbours and their distance in Å.
Fractional positions:
Tb 0.0000 0.0000 0.0000  12 Fe 3.01-3.03, 4 Tb 3.13-3.14
Tb 0.1247 0.1247 0.1247  12 Fe 2.99-3.02, 1 Tb 3.13, 3 Pa 3.15
Tb 0.6258 0.6258 0.6258  12 Fe 3.01-3.03, 3 Tb 3.14, 1 Pa 3.16
Pa 0.4998 0.4998 0.4998  12 Fe 2.97-3.01, 4 Tb 3.15-3.16
Fe 0.0621 0.0621 0.5610  6 Fe 2.54-2.59
Fe 0.0621 0.5610 0.0621  6 Fe 2.54-2.59
Fe 0.0660 0.5625 0.5625  6 Fe 2.55-2.59
Fe 0.3130 0.3130 0.3130  6 Fe 2.57-2.59
Fe 0.5610 0.0621 0.0621  6 Fe 2.54-2.59
Fe 0.5625 0.0660 0.5625  6 Fe 2.55-2.59
Fe 0.5625 0.5625 0.0660  6 Fe 2.55-2.59
Fe 0.8129 0.8129 0.8129  6 Fe 2.54-2.55

---

DFT (PBE-GGA) results for crystalline SmGdPtRh at its relaxed geometry.

Values from the calculation:
ΔH_f (0 K) ... -0.946 eV/atom
SG ... F-43m

abc: 4.9713 4.9713 4.9713
angles: 60.00 60.00 60.00
Last column: nearest neighbours and their distance in Å.
Fractional positions:
Sm 0.0000 0.0000 0.0000  4 Pt 3.04, 4 Rh 3.04
Gd 0.5000 0.5000 0.5000  4 Rh 3.04, 4 Pt 3.04
Pt 0.7500 0.7500 0.7500  4 Gd 3.04, 4 Sm 3.04
Rh 0.2500 0.2500 0.2500  4 Gd 3.04, 4 Sm 3.04

---

DFT (PBE-GGA) results for crystalline KCoSe2N at its relaxed geometry.

Values from the calculation:
E_form (uncorrected) ... 0.06 eV/atom
SG ... P4/mmm

abc: 5.3948 5.3948 3.3717
angles: 90.00 90.00 90.00
Last column: nearest neighbours and their distance in Å.
Fractional positions:
K 0.0000 0.0000 0.0000  8 Se 3.18, 2 K 3.37
Co 0.5000 0.5000 0.5000  2 N 1.69
Se 0.0000 0.5000 0.5000  2 Co 2.70
Se 0.5000 0.0000 0.5000  2 Co 2.70
N 0.5000 0.5000 0.0000  2 Co 1.69

---

DFT (PBE-GGA) results for crystalline CdPdN3 at its relaxed geometry.

Values from the calculation:
E_form (uncorrected) ... 2.68 eV/atom
SG ... Pm-3m

abc: 4.1488 4.1488 4.1488
angles: 90.00 90.00 90.00
Last column: nearest neighbours and their distance in Å.
Fractional positions:
Cd 0.0000 0.0000 0.0000  6 N 2.07
Pd 0.5000 0.5000 0.5000  12 N 2.93
N 0.0000 0.0000 0.5000  2 Cd 2.07
N 0.0000 0.5000 0.0000  2 Cd 2.07
N 0.5000 0.0000 0.0000  2 Cd 2.07

---

DFT (PBE-GGA) results for crystalline Fe2Co2Re at its relaxed geometry.

Values from the calculation:
ΔH_f (0 K) ... 0.529 eV/atom
SG ... I4/mmm

abc: 5.8805 5.8805 5.8805
angles: 147.05 147.05 47.29
Last column: nearest neighbours and their distance in Å.
Fractional positions:
Fe 0.1003 0.1003 0.0000  1 Fe 2.16, 4 Co 2.32
Fe 0.8997 0.8997 0.0000  1 Fe 2.16, 4 Co 2.32
Co 0.2500 0.7500 0.5000  4 Fe 2.32, 4 Co 2.36
Co 0.7500 0.2500 0.5000  4 Fe 2.32, 4 Co 2.36
Re 0.5000 0.5000 0.0000  8 Fe 2.59

---

Sequential DOS(E_F) output: 0.495; 0.623; 0.422; 0.856; 2.393; 0.624; 0.462; 0.692; 0.827; 0.995; 0.528; 0.572; 1.244; 1.267 states/eV/atom